DFT (PBE-GGA) results for Tm2SiBRh6 after structural relaxation.

a = 8.625 Å, b = 8.625 Å, c = 8.625 Å
α = 90.00°, β = 90.00°, γ = 90.00°
Space group Fm-3m (No. 225)
Asymmetric unit:
Tm (0.250, 0.250, 0.250) x8
Si (0.000, 0.000, 0.000) x4
B (0.000, 0.000, 0.500) x4
Rh (0.000, 0.000, 0.261) x24

Summary:
For the total moment, the calculation gives 0.00 μB/atom. The total energy comes out at -7.29 eV per atom. For the raw formation energy, the calculation gives -74 kJ per mole of atoms. For the density of states at the Fermi level, the calculation gives 30.7 states/eV per cell.

DFT (PBE-GGA) results for YSiBRh3 after structural relaxation.

a = 5.5036 Å, b = 5.5036 Å, c = 3.4105 Å
α = 90.00°, β = 90.00°, γ = 120.00°
Space group P-6m2 (No. 187)
Asymmetric unit:
Y (0.0000, 0.0000, 0.0000) x1
Si (0.6667, 0.3333, 0.0000) x1
B (0.3333, 0.6667, 0.0000) x1
Rh (0.0127, 0.5064, 0.5000) x3

Summary:
For the total moment, the calculation gives 0.00 μB/atom. The total energy comes out at -7.58 eV per atom. For the raw formation energy, the calculation gives -78 kJ per mole of atoms. For the density of states at the Fermi level, the calculation gives 2.6 states/eV per cell.

DFT (PBE-GGA) results for Y2SiBRh6 after structural relaxation.

a = 8.674 Å, b = 8.674 Å, c = 8.674 Å
α = 90.00°, β = 90.00°, γ = 90.00°
Space group Fm-3m (No. 225)
Asymmetric unit:
Y (0.250, 0.250, 0.250) x8
Si (0.000, 0.000, 0.000) x4
B (0.000, 0.000, 0.500) x4
Rh (0.000, 0.000, 0.262) x24

Summary:
For the total moment, the calculation gives 0.00 μB/atom. The total energy comes out at -7.66 eV per atom. For the raw formation energy, the calculation gives -72 kJ per mole of atoms. For the density of states at the Fermi level, the calculation gives 31.2 states/eV per cell.

DFT (PBE-GGA) results for Zr2SiBRh6 after structural relaxation.

a = 5.470 Å, b = 5.747 Å, c = 6.023 Å
α = 88.31°, β = 68.88°, γ = 62.31°
Space group P-1 (No. 2)
Asymmetric unit:
Zr (0.002, 0.309, 0.222) x2
Si (0.500, 0.500, 0.000) x1
B (0.500, 0.000, 0.500) x1
Rh (0.025, 0.183, 0.688) x2
Rh (0.447, 0.343, 0.362) x2
Rh (0.498, 0.847, 0.195) x2

Summary:
For the total moment, the calculation gives 0.00 μB/atom. The total energy comes out at -7.99 eV per atom. For the raw formation energy, the calculation gives -63 kJ per mole of atoms. For the density of states at the Fermi level, the calculation gives 5.0 states/eV per cell.

DFT (PBE-GGA) results for Sm3B2Rh5 after structural relaxation.

a = 9.283 Å, b = 12.413 Å, c = 5.945 Å
α = 90.00°, β = 90.00°, γ = 90.00°
Space group Ibam (No. 72)
Asymmetric unit:
Sm (0.000, 0.000, 0.250) x4
Sm (0.231, 0.364, 0.000) x8
B (0.091, 0.169, 0.000) x8
Rh (0.000, 0.262, 0.250) x8
Rh (0.000, 0.500, 0.250) x4
Rh (0.210, 0.391, 0.500) x8

Summary:
For the total moment, the calculation gives 0.00 μB/atom. The total energy comes out at -6.90 eV per atom. As for the calculated formation energy: -0.472 eV/atom. For the density of states at the Fermi level, the calculation gives 33.6 states/eV per cell.

DFT (PBE-GGA) results for SmB4Rh4 after structural relaxation.

a = 5.357 Å, b = 5.357 Å, c = 7.519 Å
α = 90.00°, β = 90.00°, γ = 90.00°
Space group P4_2/nmc (No. 137, origin choice 2)
Asymmetric unit:
Sm (0.250, 0.750, 0.250) x2
B (0.081, 0.250, 0.099) x8
Rh (0.001, 0.750, 0.606) x8

Summary:
For the total moment, the calculation gives 0.00 μB/atom. The total energy comes out at -7.33 eV per atom. Its excess energy over the best structure of this formula in the dataset is 17 meV per atom. As for the calculated formation energy: -0.567 eV/atom. For the density of states at the Fermi level, the calculation gives 8.9 states/eV per cell.

DFT (PBE-GGA) results for SmB4Rh8 after structural relaxation.

a = 8.205 Å, b = 8.205 Å, c = 4.901 Å
α = 90.00°, β = 90.00°, γ = 90.00°
Space group I4/mmm (No. 139)
Asymmetric unit:
Sm (0.000, 0.000, 0.000) x2
B (0.250, 0.250, 0.250) x8
Rh (0.000, 0.226, 0.500) x8
Rh (0.000, 0.334, 0.000) x8

Summary:
For the total moment, the calculation gives 0.00 μB/atom. The total energy comes out at -6.99 eV per atom. As for the calculated formation energy: -0.045 eV/atom. For the density of states at the Fermi level, the calculation gives 17.9 states/eV per cell.

DFT (PBE-GGA) results for SmB5Rh7 after structural relaxation.

a = 4.952 Å, b = 8.369 Å, c = 7.733 Å
α = 90.00°, β = 90.00°, γ = 90.00°
Space group Imm2 (No. 44)
Asymmetric unit:
Sm (0.000, 0.000, 0.000) x2
B (0.000, 0.500, 0.294) x2
B (0.183, 0.262, 0.740) x8
Rh (0.000, 0.000, 0.335) x2
Rh (0.000, 0.000, 0.665) x2
Rh (0.000, 0.294, 0.448) x4
Rh (0.000, 0.336, 0.087) x4
Rh (0.000, 0.500, 0.758) x2

Summary:
For the total moment, the calculation gives 0.00 μB/atom. The total energy comes out at -7.07 eV per atom. As for the calculated formation energy: -0.183 eV/atom. For the density of states at the Fermi level, the calculation gives 17.9 states/eV per cell.

DFT (PBE-GGA) results for SmB6Rh12 after structural relaxation.

a = 10.2516 Å, b = 10.2516 Å, c = 8.0320 Å
α = 90.00°, β = 90.00°, γ = 120.00°
Space group R-3m (No. 166, hexagonal axes)
Asymmetric unit:
Sm (0.0000, 0.0000, 0.0000) x3
B (0.0427, 0.5213, 0.2875) x18
Rh (0.0000, 0.3667, 0.5000) x18
Rh (0.0880, 0.1759, 0.3616) x18

Summary:
For the total moment, the calculation gives 0.00 μB/atom. The total energy comes out at -7.38 eV per atom. As for the calculated formation energy: -0.377 eV/atom. For the density of states at the Fermi level, the calculation gives 57.4 states/eV per cell.

DFT (PBE-GGA) results for SmB2Rh6 after structural relaxation.

a = 10.553 Å, b = 10.553 Å, c = 10.553 Å
α = 90.00°, β = 90.00°, γ = 90.00°
Space group Fd-3m (No. 227, origin choice 2)
Asymmetric unit:
Sm (0.125, 0.125, 0.125) x8
B (0.000, 0.000, 0.500) x16
Rh (0.083, 0.375, 0.875) x48

Summary:
For the total moment, the calculation gives 0.16 μB/atom. The total energy comes out at -7.01 eV per atom. As for the calculated formation energy: -0.101 eV/atom. For the density of states at the Fermi level, the calculation gives 113.1 states/eV per cell.

DFT (PBE-GGA) results for SmB2Rh7 after structural relaxation.

a = 6.943 Å, b = 10.693 Å, c = 4.161 Å
α = 90.00°, β = 90.00°, γ = 90.00°
Space group Cmmm (No. 65)
Asymmetric unit:
Sm (0.000, 0.000, 0.000) x2
B (0.000, 0.297, 0.500) x4
Rh (0.000, 0.300, 0.000) x4
Rh (0.000, 0.500, 0.500) x2
Rh (0.192, 0.136, 0.500) x8

Summary:
For the total moment, the calculation gives 0.00 μB/atom. The total energy comes out at -7.02 eV per atom. As for the calculated formation energy: -0.069 eV/atom. For the density of states at the Fermi level, the calculation gives 27.9 states/eV per cell.

DFT (PBE-GGA) results for Sm2B2Rh5 after structural relaxation.

a = 4.185 Å, b = 4.185 Å, c = 8.330 Å
α = 90.00°, β = 90.00°, γ = 90.00°
Space group P4/mmm (No. 123)
Asymmetric unit:
Sm (0.000, 0.000, 0.000) x1
Sm (0.000, 0.000, 0.500) x1
B (0.500, 0.500, 0.230) x2
Rh (0.000, 0.500, 0.249) x4
Rh (0.500, 0.500, 0.500) x1

Summary:
For the total moment, the calculation gives 0.00 μB/atom. The total energy comes out at -7.25 eV per atom. As for the calculated formation energy: -0.638 eV/atom. For the density of states at the Fermi level, the calculation gives 5.9 states/eV per cell.

DFT (PBE-GGA) results for SmB2Rh8 after structural relaxation.

a = 5.258 Å, b = 5.258 Å, c = 6.924 Å
α = 90.00°, β = 90.00°, γ = 90.00°
Space group P4/mmm (No. 123)
Asymmetric unit:
Sm (0.000, 0.000, 0.000) x1
B (0.000, 0.500, 0.500) x2
Rh (0.256, 0.256, 0.314) x8

Summary:
For the total moment, the calculation gives 0.00 μB/atom. The total energy comes out at -6.72 eV per atom. As for the calculated formation energy: 0.269 eV/atom. For the density of states at the Fermi level, the calculation gives 14.9 states/eV per cell.

DFT (PBE-GGA) results for SmB4Rh4 after structural relaxation.

a = 7.546 Å, b = 7.546 Å, c = 4.025 Å
α = 90.00°, β = 90.00°, γ = 90.00°
Space group P4_2/n (No. 86, origin choice 2)
Asymmetric unit:
Sm (0.250, 0.250, 0.250) x2
B (0.038, 0.912, 0.141) x8
Rh (0.094, 0.639, 0.140) x8

Summary:
For the total moment, the calculation gives 0.00 μB/atom. The total energy comes out at -7.34 eV per atom. Its excess energy over the best structure of this formula in the dataset is 0 meV per atom. As for the calculated formation energy: -0.585 eV/atom. For the density of states at the Fermi level, the calculation gives 5.7 states/eV per cell.

DFT (PBE-GGA) results for SmBRh2 after structural relaxation.

a = 4.715 Å, b = 3.173 Å, c = 4.768 Å
α = 90.00°, β = 112.53°, γ = 90.00°
Space group P2/m (No. 10)
Asymmetric unit:
Sm (0.000, 0.000, 0.000) x1
B (0.500, 0.000, 0.500) x1
Rh (0.334, 0.500, 0.677) x2

Summary:
For the total moment, the calculation gives 0.00 μB/atom. The total energy comes out at -6.94 eV per atom. As for the calculated formation energy: -0.412 eV/atom. For the density of states at the Fermi level, the calculation gives 3.5 states/eV per cell.

DFT (PBE-GGA) results for SmBRh2 after structural relaxation.

a = 3.7100 Å, b = 3.7100 Å, c = 16.5549 Å
α = 90.00°, β = 90.00°, γ = 120.00°
Space group R-3m (No. 166, hexagonal axes)
Asymmetric unit:
Sm (0.0000, 0.0000, 0.0000) x3
B (0.0000, 0.0000, 0.5000) x3
Rh (0.0000, 0.0000, 0.2130) x6

Summary:
For the total moment, the calculation gives 0.00 μB/atom. The total energy comes out at -6.90 eV per atom. As for the calculated formation energy: -0.372 eV/atom. For the density of states at the Fermi level, the calculation gives 5.3 states/eV per cell.

DFT (PBE-GGA) results for Sm2B10Rh after structural relaxation.

a = 5.719 Å, b = 11.389 Å, c = 4.192 Å
α = 90.00°, β = 90.00°, γ = 90.00°
Space group Pbam (No. 55)
Asymmetric unit:
Sm (0.202, 0.136, 0.000) x4
B (0.055, 0.307, 0.500) x4
B (0.119, 0.957, 0.500) x4
B (0.138, 0.803, 0.500) x4
B (0.218, 0.381, 0.199) x8
Rh (0.000, 0.500, 0.500) x2

Summary:
For the total moment, the calculation gives 0.00 μB/atom. The total energy comes out at -6.97 eV per atom. As for the calculated formation energy: -0.544 eV/atom. For the density of states at the Fermi level, the calculation gives 4.1 states/eV per cell.

DFT (PBE-GGA) results for SmB2Rh5 after structural relaxation.

a = 3.918 Å, b = 5.890 Å, c = 9.762 Å
α = 90.00°, β = 90.00°, γ = 90.00°
Space group Immm (No. 71)
Asymmetric unit:
Sm (0.000, 0.000, 0.000) x2
B (0.000, 0.500, 0.214) x4
Rh (0.000, 0.222, 0.348) x8
Rh (0.000, 0.500, 0.000) x2

Summary:
For the total moment, the calculation gives 0.00 μB/atom. The total energy comes out at -7.29 eV per atom. As for the calculated formation energy: -0.439 eV/atom. For the density of states at the Fermi level, the calculation gives 11.9 states/eV per cell.

DFT (PBE-GGA) results for Sm2SnBRh6 after structural relaxation.

a = 9.050 Å, b = 9.050 Å, c = 9.050 Å
α = 90.00°, β = 90.00°, γ = 90.00°
Space group Fm-3m (No. 225)
Asymmetric unit:
Sm (0.250, 0.250, 0.250) x8
Sn (0.000, 0.000, 0.000) x4
B (0.000, 0.000, 0.500) x4
Rh (0.000, 0.000, 0.275) x24

Summary:
For the total moment, the calculation gives 0.00 μB/atom. The total energy comes out at -6.86 eV per atom. As for the calculated formation energy: -0.442 eV/atom. For the density of states at the Fermi level, the calculation gives 30.8 states/eV per cell.

DFT (PBE-GGA) results for Sm3SnB2Rh9 after structural relaxation.

a = 6.0168 Å, b = 6.0168 Å, c = 8.3379 Å
α = 90.00°, β = 90.00°, γ = 120.00°
Space group P-3m1 (No. 164)
Asymmetric unit:
Sm (0.0000, 0.0000, 0.0000) x1
Sm (0.3333, 0.6667, 0.6644) x2
Sn (0.0000, 0.0000, 0.5000) x1
B (0.3333, 0.6667, 0.1391) x2
Rh (0.0000, 0.5000, 0.0000) x3
Rh (0.1734, 0.3469, 0.2833) x6

Summary:
For the total moment, the calculation gives 0.00 μB/atom. The total energy comes out at -7.08 eV per atom. As for the calculated formation energy: -0.566 eV/atom. For the density of states at the Fermi level, the calculation gives 12.4 states/eV per cell.